Below is Cs3Tl2Ag4 after structural relaxation, with properties calculated at the GGA-PBE level.

Structure (POSCAR):
```
Cs3Tl2Ag4
1.0
-4.791 1.043 1.561
-0.009 -2.431 -6.886
0.336 -7.959 6.349
Ag Cs Tl
4 3 2
Direct
0.240 0.480 0.923
0.760 0.520 0.077
0.082 0.165 0.635
0.918 0.835 0.365
0.623 0.245 0.371
0.377 0.755 0.629
0.000 0.000 0.000
0.307 0.614 0.231
0.693 0.386 0.769
```

Summary:
Formation enthalpy at 0 K ... 11 meV per atom
Energy ... -2.0668 eV per atom